# 1
DFT (GGA-PBE) results for a relaxed LuTc2Bi crystal.

Cell: 4.793 4.793 4.793 Å, 60.00 60.00 60.00°
Fractional coordinates of all 4 atoms:
Lu (0.000, 0.000, 0.000)
Tc (0.250, 0.250, 0.250)
Tc (0.500, 0.500, 0.500)
Bi (0.750, 0.750, 0.750)

## Properties
spin magnetization: 1.2 μB per cell
uncorrected energy: -6.919 eV per atom
crystal system: cubic

***

# 2
DFT (GGA-PBE) results for a relaxed Ni7W5 crystal.

Cell: 4.936 4.936 15.554 Å, 90.00 90.00 120.00°
Fractional coordinates of all 24 atoms:
Ni (0.000, 0.500, 0.000)
Ni (0.000, 0.500, 0.500)
Ni (0.333, 0.667, 0.119)
Ni (0.333, 0.667, 0.381)
Ni (0.333, 0.667, 0.660)
Ni (0.333, 0.667, 0.840)
Ni (0.500, 0.000, 0.000)
Ni (0.500, 0.000, 0.500)
Ni (0.500, 0.500, 0.000)
Ni (0.500, 0.500, 0.500)
Ni (0.667, 0.333, 0.160)
Ni (0.667, 0.333, 0.340)
Ni (0.667, 0.333, 0.619)
Ni (0.667, 0.333, 0.881)
W (0.000, 0.000, 0.083)
W (0.000, 0.000, 0.417)
W (0.000, 0.000, 0.583)
W (0.000, 0.000, 0.917)
W (0.165, 0.330, 0.250)
W (0.165, 0.835, 0.250)
W (0.330, 0.165, 0.750)
W (0.670, 0.835, 0.250)
W (0.835, 0.165, 0.750)
W (0.835, 0.670, 0.750)

## Properties
energy above the lowest structure with this stoichiometry: 34.7 meV/atom
E_form: 363 meV/atom
spin magnetization: 0.0 μB per cell
uncorrected energy: -8.285 eV per atom
crystal system: hexagonal

***

# 3
DFT (GGA-PBE) results for a relaxed Ir3Pd3W2 crystal.

Cell: 5.504 4.486 5.551 Å, 90.00 119.31 90.00°
Fractional coordinates of all 8 atoms:
Ir (0.000, 0.000, 0.000)
Ir (0.165, 0.500, 0.814)
Ir (0.505, 0.000, 0.505)
Pd (0.165, 0.500, 0.318)
Pd (0.504, 0.000, 0.998)
Pd (0.672, 0.500, 0.320)
W (0.007, 0.000, 0.506)
W (0.666, 0.500, 0.816)

## Properties
energy above the lowest structure with this stoichiometry: 28.1 meV/atom
E_form: -119 meV/atom
spin magnetization: 0.0 μB per cell
uncorrected energy: -8.621 eV per atom
crystal system: monoclinic

***

# 4
DFT (GGA-PBE) results for a relaxed CsTe5Ir3 crystal.

Cell: 6.167 6.167 8.197 Å, 90.00 90.00 120.00°
Fractional coordinates of all 9 atoms:
Cs (0.000, 0.000, 0.000)
Te (0.000, 0.000, 0.500)
Te (0.333, 0.667, 0.259)
Te (0.333, 0.667, 0.741)
Te (0.667, 0.333, 0.259)
Te (0.667, 0.333, 0.741)
Ir (0.000, 0.500, 0.500)
Ir (0.500, 0.000, 0.500)
Ir (0.500, 0.500, 0.500)

## Properties
spin magnetization: 1.0 μB per cell
uncorrected energy: -4.870 eV per atom
crystal system: hexagonal

***

# 5
DFT (GGA-PBE) results for a relaxed ThIn2Hg2 crystal.

Cell: 4.691 4.691 14.794 Å, 90.00 90.00 120.00°
Fractional coordinates of all 10 atoms:
Th (0.000, 0.000, 0.000)
Th (0.000, 0.000, 0.500)
In (0.333, 0.667, 0.153)
In (0.333, 0.667, 0.347)
In (0.667, 0.333, 0.653)
In (0.667, 0.333, 0.847)
Hg (0.333, 0.667, 0.614)
Hg (0.333, 0.667, 0.886)
Hg (0.667, 0.333, 0.114)
Hg (0.667, 0.333, 0.386)

## Properties
spin magnetization: 0.0 μB per cell
uncorrected energy: -2.724 eV per atom
crystal system: hexagonal

***

# 6
DFT (GGA-PBE) results for a relaxed BaZnSO crystal.

Cell: 6.314 8.974 6.067 Å, 90.00 90.00 90.00°
Fractional coordinates of all 16 atoms:
Ba (0.018, 0.194, 0.000)
Ba (0.482, 0.194, 0.500)
Ba (0.518, 0.806, 0.000)
Ba (0.982, 0.806, 0.500)
Zn (0.093, 0.576, 0.971)
Zn (0.407, 0.576, 0.471)
Zn (0.593, 0.424, 0.971)
Zn (0.907, 0.424, 0.471)
S (0.018, 0.836, 0.999)
S (0.482, 0.836, 0.499)
S (0.518, 0.164, 0.999)
S (0.982, 0.164, 0.499)
O (0.128, 0.539, 0.635)
O (0.372, 0.539, 0.135)
O (0.628, 0.461, 0.635)
O (0.872, 0.461, 0.135)

## Properties
uncorrected energy: -4.774 eV per atom
crystal system: orthorhombic

***

Question: Look up the uncorrected energy of the first one.
Answer: -6.919 eV per atom